(1)
VASP calculation (PBE-GGA) on crystalline ZrTi4Mn5 at its relaxed geometry.

Properties
Space group: P4/mmm, No. 123
Energy: -87.8 eV/f.u.
DOS(E_F): 11.55 states/eV/cell
Energy of formation from the pure elements: -178 meV per atom

Geometry as POSCAR:
```
ZrTi4Mn5
1.0
3.038 0.000 0.000
0.000 3.038 0.000
0.000 0.000 15.208
Zr Ti Mn
1 4 5
direct
0.000 0.000 0.000 Zr
0.000 0.000 0.207 Ti
0.000 0.000 0.403 Ti
0.000 0.000 0.597 Ti
0.000 0.000 0.793 Ti
0.500 0.500 0.113 Mn
0.500 0.500 0.306 Mn
0.500 0.500 0.500 Mn
0.500 0.500 0.694 Mn
0.500 0.500 0.887 Mn
```


(2)
VASP calculation (PBE-GGA) on crystalline Zr2Ti2Mn at its relaxed geometry.

Properties
Space group: P4/mbm, No. 127
Energy: -41.7 eV/f.u.
DOS(E_F): 9.67 states/eV/cell
Energy of formation from the pure elements: 62 meV per atom

Geometry as POSCAR:
```
Zr2Ti2Mn
1.0
6.147 0.000 0.000
0.000 6.147 0.000
0.000 0.000 4.903
Zr Ti Mn
4 4 2
direct
0.167 0.333 0.000 Zr
0.333 0.833 0.000 Zr
0.667 0.167 0.000 Zr
0.833 0.667 0.000 Zr
0.156 0.656 0.500 Ti
0.344 0.156 0.500 Ti
0.656 0.844 0.500 Ti
0.844 0.344 0.500 Ti
0.000 0.000 0.500 Mn
0.500 0.500 0.500 Mn
```


(3)
VASP calculation (PBE-GGA) on crystalline ZrTi2Mn2 at its relaxed geometry.

Properties
Space group: P4/mbm, No. 127
Energy: -42.3 eV/f.u.
DOS(E_F): 8.73 states/eV/cell
Energy of formation from the pure elements: 70 meV per atom

Geometry as POSCAR:
```
ZrTi2Mn2
1.0
7.542 0.000 0.000
0.000 7.542 0.000
0.000 0.000 2.842
Zr Ti Mn
2 4 4
direct
0.000 0.000 0.000 Zr
0.500 0.500 0.000 Zr
0.142 0.358 0.000 Ti
0.358 0.858 0.000 Ti
0.642 0.142 0.000 Ti
0.858 0.642 0.000 Ti
0.145 0.645 0.500 Mn
0.355 0.145 0.500 Mn
0.645 0.855 0.500 Mn
0.855 0.355 0.500 Mn
```


(4)
VASP calculation (PBE-GGA) on crystalline MnTl3 at its relaxed geometry.

Properties
Space group: R-3m, No. 166
Energy: -14.6 eV/f.u.
DOS(E_F): 2.84 states/eV/cell
Energy of formation from the pure elements: 408 meV per atom

Geometry as POSCAR:
```
MnTl3
1.0
5.179 2.990 1.133
-5.179 2.990 1.133
0.000 -5.981 1.133
Mn Tl
1 3
direct
0.000 0.000 0.000 Mn
0.000 0.500 0.500 Tl
0.500 0.000 0.500 Tl
0.500 0.500 0.000 Tl
```


Question: Look up the DOS(E_F) of the third one.
Answer: 8.73 states/eV/cell


Question: Look up the DOS(E_F) of the second one.
Answer: 9.67 states/eV/cell


Question: Among the records above, which one has the highest energy?
Answer: MnTl3


Question: Among the records above, which one has the highest energy?
Answer: MnTl3